Computed, not measured: a relaxed structure of InHgN2 at the PBE-GGA level of DFT.

## Properties
E_form (uncorrected) (meV/atom): 1603.5
Space group: Fm-3m, No. 225

```
4
Lattice="0.000 3.020 3.020 3.020 0.000 3.020 3.020 3.020 0.000" Properties=species:S:1:pos:R:3 pbc="T T T"
N 1.510 1.510 1.510
N 4.531 4.531 4.531
Hg 3.020 3.020 3.020
In 0.000 0.000 0.000
```

---

Computed, not measured: a relaxed structure of YMgCu10 at the PBE-GGA level of DFT.

## Properties
Space group: Pmmm, No. 47
E_form (eV/atom): -0.11

```
12
Lattice="-1.008 3.764 -1.210 -4.817 -1.159 0.407 0.056 2.650 8.198" Properties=species:S:1:pos:R:3 pbc="T T T"
Y 0.000 0.000 0.000
Mg -2.381 0.745 4.303
Cu 0.019 0.908 2.809
Cu -2.363 1.597 6.937
Cu -2.399 -0.106 1.668
Cu 0.037 1.742 5.390
Cu -0.476 3.207 3.494
Cu -2.913 1.302 -0.401
Cu -1.688 2.258 1.552
Cu -4.082 2.997 5.845
Cu -4.110 1.675 1.756
Cu -1.660 3.579 5.640
```